Density functional theory data (GGA-PBE) for a geometry-optimized TaAlFe2 structure.

Its theoretical density is 9253 kg/m³. The formation energy is 0.11 eV per atom. Its symmetry is R3m, No. 160. As for the total magnetization: 0.9910 μB/atom.

Cell: 8.605 8.605 8.605 Å, 18.72 18.72 18.72°
Site moments in Bohr magnetons follow the coordinates.
Atoms (fractional coordinates):
Fe 0.258 0.258 0.258  2.14
Ta 0.504 0.504 0.504  -0.15
Fe 0.996 0.996 0.996  2.10
Al 0.742 0.742 0.742  -0.02